[1]
The following is a DFT calculation (GGA-PBE) of crystalline Sr8Rh2Br at its relaxed geometry.

extended XYZ file:
```
11
Lattice="7.298 0.428 1.303 -0.844 5.410 -5.401 2.017 0.849 11.474" Properties=species:S:1:pos:R:3 pbc="T T T"
Sr 1.939 4.914 0.947
Sr 6.532 1.772 6.429
Sr 5.131 3.940 -1.880
Sr 2.158 0.558 2.332
Sr 2.714 3.550 5.239
Sr 3.339 2.746 9.256
Sr 6.313 6.128 5.044
Sr 5.757 3.137 2.137
Rh 8.584 2.373 8.517
Rh -0.114 4.313 -1.141
Br 2.017 0.849 11.474
```

Calculated values
DOS at the Fermi energy: 7.13 states/eV per cell
symmetry: P-1 (2)
volume: 42.80 A^3/atom
raw formation energy: -402.0 meV per atom

***

[2]
The following is a DFT calculation (GGA-PBE) of crystalline DyEr2AgC at its relaxed geometry.

extended XYZ file:
```
5
Lattice="-2.622 2.937 2.755 -0.627 -3.545 3.182 4.119 1.426 2.401" Properties=species:S:1:pos:R:3 pbc="T T T"
Dy 1.409 -2.840 4.369
Er 3.790 -0.352 3.983
Er 2.165 -0.656 6.951
Ag 0.456 0.416 4.181
C 0.033 0.011 0.019
```

Calculated values
E_form: -0.2286 eV per atom
DOS at the Fermi energy: 6.38 states/eV per cell
symmetry: P4mm (99)
volume: 22.98 A^3/atom

***

[3]
The following is a DFT calculation (GGA-PBE) of crystalline Ta2VFe3 at its relaxed geometry.

extended XYZ file:
```
6
Lattice="4.352 -0.132 -2.291 -2.766 4.063 -0.206 -0.268 0.057 4.768" Properties=species:S:1:pos:R:3 pbc="T T T"
Ta 2.190 1.431 -1.203
Ta -0.872 2.558 3.475
V 0.000 0.000 0.000
Fe 0.659 1.995 1.136
Fe -0.134 0.029 2.384
Fe 2.042 -0.037 1.239
```

Calculated values
E_form: -0.2309 eV per atom
DOS at the Fermi energy: 7.11 states/eV per cell
symmetry: R-3m (166)
volume: 13.42 A^3/atom

***

Q: Which value of volume does entry 3 give?
A: 13.42 A^3/atom

***

Q: The lowest volume belongs to which entry?
A: Ta2VFe3

***

Q: Which value of volume does entry 2 give?
A: 22.98 A^3/atom

***

Q: What is the formula in the first record?
A: Sr8Rh2Br